(1)
VASP calculation (PBE) on a relaxed structure of BaFeCo.

Output
- E (Ha/atom) = -0.19375
- excess energy over the best structure of this formula in the dataset (meV per atom) = 60
- energy of formation (eV/f.u.) = 1.67

abc: 6.1783 6.1783 3.3443
angles: 74.30 74.30 31.41
With the nearest neighbours (Å) after each atom.
Atoms (fractional coordinates):
Fe 0.7253 0.7253 0.2747  4 Co 2.43
Ba 0.9999 0.9999 0.0001  5 Fe 3.13-3.49, 5 Co 3.14-3.49, 4 Ba 3.34
Co 0.2747 0.2747 0.7253  4 Fe 2.43

=====

(2)
VASP calculation (PBE) on a relaxed structure of BaFeCo2.

Output
- E (Ha/atom) = -0.21625
- excess energy over the best structure of this formula in the dataset (meV per atom) = 4
- energy of formation (eV/f.u.) = 1.06

abc: 6.1678 6.1678 6.1678
angles: 38.77 38.77 38.77
With the nearest neighbours (Å) after each atom.
Atoms (fractional coordinates):
Co 0.2567 0.2567 0.2567  3 Co 2.37, 3 Fe 2.41
Fe 0.5631 0.5631 0.5631  6 Co 2.41-2.44
Ba 0.7492 0.7492 0.7492  1 Co 3.11, 4 Fe 3.18-3.45
Co 0.9310 0.9310 0.9310  3 Co 2.37, 3 Fe 2.44

=====

(3)
VASP calculation (PBE) on a relaxed structure of Ba2FeCo.

Output
- E (Ha/atom) = -0.14862
- excess energy over the best structure of this formula in the dataset (meV per atom) = 379
- energy of formation (eV/f.u.) = 3.24

abc: 3.8298 3.8296 7.8732
angles: 90.00 90.00 90.00
With the nearest neighbours (Å) after each atom.
Atoms (fractional coordinates):
Ba 0.0000 0.0000 0.4878  4 Co 3.29, 4 Fe 3.41
Co 0.5000 0.5000 0.2500  8 Ba 3.29
Fe 0.5000 0.5000 0.7500  8 Ba 3.41
Ba 0.0000 0.0000 0.0122  4 Co 3.29, 4 Fe 3.41

=====

(4)
VASP calculation (PBE) on a relaxed structure of Ba2FeCo.

Output
- E (Ha/atom) = -0.14162
- excess energy over the best structure of this formula in the dataset (meV per atom) = 570
- energy of formation (eV/f.u.) = 4.00

abc: 9.1111 9.1111 9.1111
angles: 26.05 26.05 26.05
With the nearest neighbours (Å) after each atom.
Atoms (fractional coordinates):
Ba 0.5057 0.5057 0.5057  3 Co 3.13, 3 Fe 3.34
Ba 0.9943 0.9943 0.9943  3 Co 3.13, 3 Fe 3.34
Co 0.2500 0.2500 0.2500  6 Ba 3.13
Fe 0.7500 0.7500 0.7500  6 Ba 3.34

=====

(5)
VASP calculation (PBE) on a relaxed structure of BaFeCo2H.

Output
- E (Ha/atom) = -0.17423

abc: 4.3345 3.7798 4.3345
angles: 90.00 90.00 90.00
With the nearest neighbours (Å) after each atom.
Atoms (fractional coordinates):
H 0.0000 0.0000 0.0000  2 Fe 1.89
Fe 0.0000 0.5000 0.0000  2 H 1.89
Co 0.0000 0.0000 0.5000  2 H 2.17
Ba 0.5000 0.5000 0.5000  8 Co 2.88, 4 Fe 3.06
Co 0.5000 0.0000 0.0000  2 H 2.17

=====

(6)
VASP calculation (PBE) on a relaxed structure of Ba2FeCoN.

Output
- E (Ha/atom) = -0.19859
- energy relative to the elements, uncorrected (eV per atom) = 0.144

abc: 5.8036 3.5354 5.8036
angles: 90.00 90.00 90.00
With the nearest neighbours (Å) after each atom.
Atoms (fractional coordinates):
Fe 0.5000 0.5000 0.5000  8 Ba 3.40, 2 Fe 3.54
Ba 0.0000 0.0000 0.5000  2 N 2.90
N 0.0000 0.0000 0.0000  2 Co 1.77
Ba 0.5000 0.0000 0.0000  2 N 2.90
Co 0.0000 0.5000 0.0000  2 N 1.77